(1)
Compound: Pr2Tl2O7
Source: the Alexandria database
Functional: PBE
Structure: optimized geometry

Cell lengths 7.8647, 8.6019, 5.0632 Å; angles 90.00, 90.00, 90.00 degrees
Space group Cmmm (No. 65)
Unique sites:
Pr 0.2458 0.0000 0.0000
Tl 0.0000 0.2346 0.5000
O 0.0000 0.0000 0.2520
O 0.0000 0.5000 0.5000
O 0.2500 0.2500 0.2370

The value obtained for the formation energy without anion corrections is -1493 meV per atom.

(2)
Compound: SrSc2Be
Source: the Alexandria database
Functional: PBE
Structure: optimized geometry

Cell lengths 7.3410, 7.3410, 7.3410 Å; angles 90.00, 90.00, 90.00 degrees
Space group F-43m (No. 216)
Unique sites:
Sr 0.0000 0.0000 0.0000
Sc 0.0000 0.0000 0.5000
Sc 0.2500 0.2500 0.2500
Be 0.2500 0.2500 0.7500

The value obtained for the formation energy from the elements is 0.54 eV/atom.

(3)
Compound: KBeCo
Source: the Alexandria database
Functional: PBE
Structure: optimized geometry

Cell lengths 3.6848, 3.6848, 5.4731 Å; angles 90.00, 90.00, 120.00 degrees
Space group P3m1 (No. 156)
Unique sites:
K 0.0000 0.0000 0.0000
Be 0.6667 0.3333 0.4928
Co 0.3333 0.6667 0.5042

The value obtained for the formation energy from the elements is 0.85 eV/atom. The value obtained for the polymorph energy (0 for the lowest one) is 314 meV per atom.

(4)
Compound: Pr2FeNiH6
Source: the Alexandria database
Functional: PBE
Structure: optimized geometry

Cell lengths 7.2516, 7.3159, 5.1406 Å; angles 90.00, 134.71, 90.00 degrees
Space group C2/m (No. 12)
Unique sites:
Pr 0.0000 0.2504 0.0000
Fe 0.0000 0.0000 0.5000
Ni 0.0000 0.5000 0.5000
H 0.0000 0.2366 0.5000
H 0.2365 0.0000 0.9734
H 0.2383 0.0000 0.4995

(5)
Compound: Nb2CuTeO
Source: the Alexandria database
Functional: PBE
Structure: optimized geometry

Cell lengths 4.4732, 4.4732, 3.8830 Å; angles 90.00, 90.00, 90.00 degrees
Space group P4/mmm (No. 123)
Unique sites:
Nb 0.0000 0.5000 0.0000
Cu 0.0000 0.0000 0.5000
Te 0.5000 0.5000 0.5000
O 0.0000 0.0000 0.0000

The value obtained for the formation energy without anion corrections is -252 meV per atom.

(6)
Compound: Y2MgP
Source: the Alexandria database
Functional: PBE
Structure: optimized geometry

Cell lengths 4.3303, 5.5333, 8.5446 Å; angles 90.00, 90.00, 90.00 degrees
Space group Cmm2 (No. 35)
Unique sites:
Y 0.0000 0.0000 0.0000
Y 0.0000 0.5000 0.3333
Mg 0.0000 0.0000 0.6283
P 0.0000 0.5000 0.8076

The value obtained for the formation energy from the elements is -0.41 eV/atom. The value obtained for the polymorph energy (0 for the lowest one) is 366 meV per atom.

Number 1: energy -5.947 eV per atom. Number 2: energy -3.982 eV per atom. Number 3: energy -3.126 eV per atom. Number 4: energy -4.782 eV per atom. Number 5: energy -6.719 eV per atom. Number 6: energy -5.394 eV per atom.